# NdTlB4 | OQMD via LeMat-Bulk | PBE-GGA | relaxed
data_NdTlB4
_chemical_formula_sum 'Nd1 Tl1 B4'
_cell_length_a 3.2282
_cell_length_b 3.2282
_cell_length_c 9.2427
_cell_angle_alpha 90.00
_cell_angle_beta 90.00
_cell_angle_gamma 120.00
_symmetry_space_group_name_H-M 'P 6/m m m'
_symmetry_Int_Tables_number 191
_symmetry_space_group_name_Hall '-P 6 2'
loop_
_atom_site_label
_atom_site_fract_x
_atom_site_fract_y
_atom_site_fract_z
_atom_site_occupancy
Nd1 0.0000 0.0000 0.0000 1
Tl1 0.0000 0.0000 0.5000 1
B1 0.3333 0.6667 0.2224 1
# Theoretical density, Mg/m³: 7.8
# Energy above the lowest structure with this stoichiometry, meV per atom: 172.7